This record from Alexandria via LeMat-Bulk describes crystalline Li2FePbN at its relaxed geometry. The functional is PBE.

Results
Uncorrected formation energy in eV/atom: -0.2169
Size of the total moment in μB per formula unit: 0.1
Space group: P4/mmm, No. 123

The structure in CIF format:
```
data_Li2FePbN
_cell_length_a 4.308
_cell_length_b 4.308
_cell_length_c 3.569
_cell_angle_alpha 90.00
_cell_angle_beta 90.00
_cell_angle_gamma 90.00
_space_group_name_H-M_alt 'P 1'
_space_group_IT_number 1
loop_
_space_group_symop_operation_xyz
'x,y,z'
loop_
_atom_site_label
_atom_site_fract_x
_atom_site_fract_y
_atom_site_fract_z
_atom_site_occupancy
Pb1 0.500 0.500 0.500 1
Li1 0.000 0.500 0.000 1
Li2 0.500 0.000 0.000 1
Fe1 0.000 0.000 0.500 1
N1 0.000 0.000 0.000 1
```